# Tl5Mo4

An optimized crystal structure of Tl5Mo4 (PBE-GGA, the Alexandria database).

total energy: -5.16 eV/atom
volume: 364.9 Å³ per cell
DFT formation energy: 973 meV/atom

```
data_Tl5Mo4
_symmetry_space_group_name_H-M 'P 63/m c m'
_symmetry_Int_Tables_number 193
_symmetry_space_group_name_Hall '-P 6c 2'
_cell_length_a 8.6025
_cell_length_b 8.6025
_cell_length_c 5.6944
_cell_angle_alpha 90.00
_cell_angle_beta 90.00
_cell_angle_gamma 120.00
loop_
_atom_site_label
_atom_site_type_symbol
_atom_site_fract_x
_atom_site_fract_y
_atom_site_fract_z
Tl1 Tl 0.0000 0.2865 0.2500
Tl2 Tl 0.3333 0.6667 0.0000
Mo1 Mo 0.0000 0.0000 0.0000
Mo2 Mo 0.0000 0.3821 0.7500
```

---

# HgAu

An optimized crystal structure of HgAu (PBE-GGA, the Alexandria database).

total energy: -1.71 eV/atom
volume: 377.1 Å³ per cell
DFT formation energy: 82 meV/atom

```
data_HgAu
_symmetry_space_group_name_H-M 'I 4/m'
_symmetry_Int_Tables_number 87
_symmetry_space_group_name_Hall '-I 4'
_cell_length_a 10.1632
_cell_length_b 10.1632
_cell_length_c 3.6512
_cell_angle_alpha 90.00
_cell_angle_beta 90.00
_cell_angle_gamma 90.00
loop_
_atom_site_label
_atom_site_type_symbol
_atom_site_fract_x
_atom_site_fract_y
_atom_site_fract_z
Hg1 Hg 0.1116 0.1751 0.0000
Au1 Au 0.0932 0.6238 0.0000
```

---

# Al4RhBr

An optimized crystal structure of Al4RhBr (PBE-GGA, the Alexandria database).

energy relative to the elements, uncorrected: 242.8 meV/atom
total energy: -3.76 eV/atom
volume: 427.1 Å³ per cell

```
data_Al4RhBr
_symmetry_space_group_name_H-M 'F -4 3 m'
_symmetry_Int_Tables_number 216
_symmetry_space_group_name_Hall 'F -4 2 3'
_cell_length_a 7.5308
_cell_length_b 7.5308
_cell_length_c 7.5308
_cell_angle_alpha 90.00
_cell_angle_beta 90.00
_cell_angle_gamma 90.00
loop_
_atom_site_label
_atom_site_type_symbol
_atom_site_fract_x
_atom_site_fract_y
_atom_site_fract_z
Al1 Al 0.1236 0.1236 0.1236
Rh1 Rh 0.2500 0.2500 0.7500
Br1 Br 0.0000 0.0000 0.5000
```

---

| no. | theoretical density (Mg/m³) |
| --- | --- |
| 1 | 12.79 |
| 2 | 14.00 |
| 3 | 4.52 |